VP2O7: optimized geometry, GGA+U.

Cell lengths 8.240, 8.240, 8.240 Å; angles 93.06, 93.06, 153.27 degrees
Positions (direct):
V: 0.000 0.000 0.000
V: 0.750 0.250 0.500
P: 0.031 0.625 0.906
P: 0.375 0.281 0.406
P: 0.719 0.125 0.094
P: 0.875 0.969 0.594
O: 0.103 0.037 0.242
O: 0.140 0.897 0.934
O: 0.191 0.125 0.566
O: 0.250 0.750 0.500
O: 0.375 0.809 0.934
O: 0.500 0.500 0.000
O: 0.559 0.625 0.434
O: 0.610 0.044 0.258
O: 0.647 0.390 0.434
O: 0.787 0.353 0.742
O: 0.794 0.860 0.758
O: 0.875 0.441 0.066
O: 0.956 0.213 0.566
O: 0.963 0.206 0.066

## Properties
- Distance to the lowest polymorph of the same formula: 0.106 eV/atom
- DFT total energy: -7.326 eV per atom
- Total magnetic moment: 2.000 Bohr magnetons per cell
- ρ: 3.1 g/cm3
- Symmetry: I-42d, No. 122